Material: Ca2CuPd5Au2
Method: DFT, PBE-GGA
State: relaxed

Cell lengths 9.7447, 9.7447, 4.0020 Å; angles 90.00, 90.00, 90.00 degrees
Positions (direct):
Ca (0.1701, 0.3299, 0.0000)
Ca (0.3299, 0.8299, 0.0000)
Ca (0.6701, 0.1701, 0.0000)
Ca (0.8299, 0.6701, 0.0000)
Cu (0.0000, 0.0000, 0.0000)
Cu (0.5000, 0.5000, 0.0000)
Pd (0.0000, 0.5000, 0.5000)
Pd (0.0550, 0.8081, 0.5000)
Pd (0.1919, 0.0550, 0.5000)
Pd (0.3081, 0.5550, 0.5000)
Pd (0.4450, 0.3081, 0.5000)
Pd (0.5000, 0.0000, 0.5000)
Pd (0.5550, 0.6919, 0.5000)
Pd (0.6919, 0.4450, 0.5000)
Pd (0.8081, 0.9450, 0.5000)
Pd (0.9450, 0.1919, 0.5000)
Au (0.1304, 0.6304, 0.0000)
Au (0.3696, 0.1304, 0.0000)
Au (0.6304, 0.8696, 0.0000)
Au (0.8696, 0.3696, 0.0000)

Results
Magnetic moment: 0.00 μB/cell
Space group: No. 127
DFT formation energy: -395 meV per atom



Material: Sm2MgAl4Cu3
Method: DFT, PBE-GGA
State: relaxed

Cell lengths 4.1554, 4.1554, 11.0176 Å; angles 90.00, 90.00, 90.00 degrees
Positions (direct):
Sm (0.0000, 0.5000, 0.2337)
Sm (0.5000, 0.0000, 0.7663)
Mg (0.0000, 0.0000, 0.5000)
Al (0.0000, 0.0000, 0.0000)
Al (0.0000, 0.5000, 0.6558)
Al (0.5000, 0.0000, 0.3442)
Al (0.5000, 0.5000, 0.0000)
Cu (0.0000, 0.5000, 0.8746)
Cu (0.5000, 0.0000, 0.1254)
Cu (0.5000, 0.5000, 0.5000)

Results
Magnetic moment: 0.00 μB/cell
Space group: No. 115
DFT formation energy: -354 meV per atom



Material: K2LaI4
Method: DFT, PBE-GGA
State: relaxed

Cell lengths 6.3030, 6.3030, 17.9303 Å; angles 90.00, 90.00, 90.00 degrees
Positions (direct):
K (0.0000, 0.0000, 0.1304)
K (0.0000, 0.0000, 0.8696)
K (0.5000, 0.5000, 0.3696)
K (0.5000, 0.5000, 0.6304)
La (0.0000, 0.0000, 0.5000)
La (0.5000, 0.5000, 0.0000)
I (0.0000, 0.0000, 0.3216)
I (0.0000, 0.0000, 0.6784)
I (0.0000, 0.5000, 0.0000)
I (0.0000, 0.5000, 0.5000)
I (0.5000, 0.0000, 0.0000)
I (0.5000, 0.0000, 0.5000)
I (0.5000, 0.5000, 0.1784)
I (0.5000, 0.5000, 0.8216)

Results
Magnetic moment: 1.31 μB/cell
Space group: No. 139
Raw formation energy: -9.08 eV/f.u.



Material: Cr2NiMo
Method: DFT, PBE-GGA
State: relaxed

Cell lengths 4.0484, 4.0484, 3.1428 Å; angles 90.00, 90.00, 90.00 degrees
Positions (direct):
Cr (0.0000, 0.5000, 0.0000)
Cr (0.5000, 0.0000, 0.0000)
Ni (0.0000, 0.0000, 0.5000)
Mo (0.5000, 0.5000, 0.5000)

Results
Magnetic moment: 3.09 μB/cell
Space group: No. 123
DFT formation energy: 148 meV per atom



Material: YTc2P
Method: DFT, PBE-GGA
State: relaxed

Cell lengths 3.0629, 3.0629, 7.1263 Å; angles 90.00, 90.00, 90.00 degrees
Positions (direct):
Y (0.0000, 0.0000, 0.0000)
Tc (0.5000, 0.5000, 0.3159)
Tc (0.5000, 0.5000, 0.6841)
P (0.0000, 0.0000, 0.5000)

Results
Magnetic moment: 0.00 μB/cell
Space group: No. 123
DFT formation energy: -83 meV per atom



Material: KTi3I12
Method: DFT, PBE-GGA
State: relaxed

Cell lengths 15.5873, 15.5873, 8.8875 Å; angles 90.00, 90.00, 120.00 degrees
Positions (direct):
K (0.3333, 0.6667, 0.2500)
K (0.6667, 0.3333, 0.7500)
Ti (0.1122, 0.7122, 0.7500)
Ti (0.2878, 0.4000, 0.7500)
Ti (0.4000, 0.1122, 0.2500)
Ti (0.6000, 0.8878, 0.7500)
Ti (0.7122, 0.6000, 0.2500)
Ti (0.8878, 0.2878, 0.2500)
I (0.9999, 0.4774, 0.2500)
I (0.0001, 0.5226, 0.7500)
I (0.0083, 0.7977, 0.7500)
I (0.2023, 0.2106, 0.7500)
I (0.2106, 0.0083, 0.2500)
I (0.2238, 0.7681, 0.5120)
I (0.2238, 0.7681, 0.9880)
I (0.2319, 0.4557, 0.5120)
I (0.2319, 0.4557, 0.9880)
I (0.4557, 0.2238, 0.0120)
I (0.4557, 0.2238, 0.4880)
I (0.4774, 0.4776, 0.7500)
I (0.4776, 0.0001, 0.2500)
I (0.5224, 0.9999, 0.7500)
I (0.5226, 0.5224, 0.2500)
I (0.5443, 0.7762, 0.5120)
I (0.5443, 0.7762, 0.9880)
I (0.7681, 0.5443, 0.0120)
I (0.7681, 0.5443, 0.4880)
I (0.7762, 0.2319, 0.0120)
I (0.7762, 0.2319, 0.4880)
I (0.7894, 0.9917, 0.7500)
I (0.7977, 0.7894, 0.2500)
I (0.9917, 0.2023, 0.2500)

Results
Magnetic moment: 2.04 μB/cell
Space group: No. 176
Raw formation energy: -12.77 eV/f.u.



Material: NdMgSc2Pd4
Method: DFT, PBE-GGA
State: relaxed

Cell lengths 8.8483, 8.8483, 8.8483 Å; angles 30.29, 30.29, 30.29 degrees
Positions (direct):
Nd (0.0000, 0.0000, 0.0000)
Mg (0.5000, 0.5000, 0.5000)
Sc (0.2395, 0.2395, 0.2395)
Sc (0.7605, 0.7605, 0.7605)
Pd (0.1279, 0.1279, 0.1279)
Pd (0.3941, 0.3941, 0.3941)
Pd (0.6059, 0.6059, 0.6059)
Pd (0.8721, 0.8721, 0.8721)

Results
Magnetic moment: 0.00 μB/cell
Space group: No. 166
DFT formation energy: -791 meV per atom



Material: ThTiRh2
Method: DFT, PBE-GGA
State: relaxed

Cell lengths 3.1576, 3.1576, 7.3845 Å; angles 90.00, 90.00, 90.00 degrees
Positions (direct):
Th (0.0000, 0.0000, 0.0000)
Ti (0.0000, 0.0000, 0.5000)
Rh (0.5000, 0.5000, 0.3011)
Rh (0.5000, 0.5000, 0.6989)

Results
Magnetic moment: 0.00 μB/cell
Space group: No. 123
DFT formation energy: -678 meV per atom



Material: KFePt
Method: DFT, PBE-GGA
State: relaxed

Cell lengths 6.7361, 6.7361, 6.7361 Å; angles 90.00, 90.00, 90.00 degrees
Positions (direct):
K (0.0000, 0.0000, 0.0000)
K (0.0000, 0.5000, 0.5000)
K (0.5000, 0.0000, 0.5000)
K (0.5000, 0.5000, 0.0000)
Fe (0.2500, 0.2500, 0.2500)
Fe (0.2500, 0.7500, 0.7500)
Fe (0.7500, 0.2500, 0.7500)
Fe (0.7500, 0.7500, 0.2500)
Pt (0.2500, 0.2500, 0.7500)
Pt (0.2500, 0.7500, 0.2500)
Pt (0.7500, 0.2500, 0.2500)
Pt (0.7500, 0.7500, 0.7500)

Results
Magnetic moment: 14.35 μB/cell
Space group: No. 216
DFT formation energy: 1607 meV per atom



Material: LaSm3Cu2
Method: DFT, PBE-GGA
State: relaxed

Cell lengths 3.5778, 3.5778, 12.5411 Å; angles 90.00, 90.00, 90.00 degrees
Positions (direct):
La (0.0000, 0.0000, 0.0000)
Sm (0.5000, 0.5000, 0.2228)
Sm (0.5000, 0.5000, 0.5000)
Sm (0.5000, 0.5000, 0.7772)
Cu (0.0000, 0.0000, 0.3581)
Cu (0.0000, 0.0000, 0.6419)

Results
Magnetic moment: 0.00 μB/cell
Space group: No. 123
DFT formation energy: -106 meV per atom



Material: CdTc3
Method: DFT, PBE-GGA
State: relaxed

Cell lengths 2.8074, 3.9556, 5.7688 Å; angles 90.00, 90.01, 90.00 degrees
Positions (direct):
Cd (0.0000, 0.0000, 0.0000)
Tc (0.0000, 0.0000, 0.5000)
Tc (0.4930, 0.5000, 0.7139)
Tc (0.5070, 0.5000, 0.2861)

Results
Magnetic moment: 0.00 μB/cell
Space group: No. 10
DFT formation energy: 307 meV per atom



Material: LaY2PaAs4
Method: DFT, PBE-GGA
State: relaxed

Cell lengths 7.1850, 4.1786, 7.2626 Å; angles 90.00, 109.48, 90.00 degrees
Positions (direct):
La (0.0000, 0.0000, 0.0000)
Y (0.5000, 0.0000, 0.5000)
Y (0.5000, 0.5000, 0.0000)
Pa (0.0000, 0.5000, 0.5000)
As (0.2509, 0.0000, 0.7416)
As (0.2553, 0.5000, 0.2627)
As (0.7447, 0.5000, 0.7373)
As (0.7491, 0.0000, 0.2584)

Results
Magnetic moment: 0.47 μB/cell
Space group: No. 10
DFT formation energy: -1422 meV per atom